1.
## SiHgAu2 (GGA-PBE)

Data for a relaxed structure of SiHgAu2.

The value obtained for the total energy is -2.82 eV/atom. For the energy relative to the elements, uncorrected, the calculation gives 254 meV per atom. The density of states at the Fermi level comes out at 1.3 states/eV/f.u. For the total moment, the calculation gives 0.00 μB per formula unit. The calculation puts the energy above the most stable polymorph in this dataset at 73 kJ/mol of formula units.

Structure (CIF):
```
data_SiHgAu2
_chemical_formula_sum 'Si1 Hg1 Au2'
_symmetry_space_group_name_H-M 'P 1'
_symmetry_Int_Tables_number 1
_cell_length_a 2.887
_cell_length_b 2.887
_cell_length_c 10.362
_cell_angle_alpha 90.00
_cell_angle_beta 90.00
_cell_angle_gamma 115.00
loop_
_symmetry_equiv_pos_as_xyz
'x,y,z'
loop_
_atom_site_label
_atom_site_fract_x
_atom_site_fract_y
_atom_site_fract_z
Si1 0.000 0.000 0.000
Hg1 0.500 0.500 0.289
Au1 0.000 0.000 0.554
Au2 0.500 0.500 0.794
```


2.
## Tl3As2F9 (GGA-PBE)

Data for a relaxed structure of Tl3As2F9.

The value obtained for the total energy is -4.36 eV/atom. For the energy relative to the elements, uncorrected, the calculation gives -1987 meV per atom. The density of states at the Fermi level comes out at 0.0 states/eV/f.u. For the total moment, the calculation gives 0.00 μB per formula unit.

Structure (CIF):
```
data_Tl3As2F9
_chemical_formula_sum 'Tl3 As2 F9'
_symmetry_space_group_name_H-M 'P 1'
_symmetry_Int_Tables_number 1
_cell_length_a 6.497
_cell_length_b 6.497
_cell_length_c 7.569
_cell_angle_alpha 90.00
_cell_angle_beta 90.00
_cell_angle_gamma 120.00
loop_
_symmetry_equiv_pos_as_xyz
'x,y,z'
loop_
_atom_site_label
_atom_site_fract_x
_atom_site_fract_y
_atom_site_fract_z
Tl1 0.000 0.000 0.000
Tl2 0.333 0.667 0.330
Tl3 0.667 0.333 0.670
As1 0.333 0.667 0.829
As2 0.667 0.333 0.171
F1 0.000 0.500 0.000
F2 0.196 0.392 0.683
F3 0.196 0.804 0.683
F4 0.392 0.196 0.317
F5 0.500 0.000 0.000
F6 0.500 0.500 0.000
F7 0.608 0.804 0.683
F8 0.804 0.196 0.317
F9 0.804 0.608 0.317
```


3.
## Mn2NiAu (GGA-PBE)

Data for a relaxed structure of Mn2NiAu.

The value obtained for the total energy is -6.80 eV/atom. The density of states at the Fermi level comes out at 2.3 states/eV/f.u. For the total moment, the calculation gives 8.33 μB per formula unit. The calculation puts the energy above the most stable polymorph in this dataset at 18 kJ/mol of formula units.

Structure (CIF):
```
data_Mn2NiAu
_chemical_formula_sum 'Mn2 Ni1 Au1'
_symmetry_space_group_name_H-M 'P 1'
_symmetry_Int_Tables_number 1
_cell_length_a 4.632
_cell_length_b 4.632
_cell_length_c 4.632
_cell_angle_alpha 129.52
_cell_angle_beta 129.52
_cell_angle_gamma 74.17
loop_
_symmetry_equiv_pos_as_xyz
'x,y,z'
loop_
_atom_site_label
_atom_site_fract_x
_atom_site_fract_y
_atom_site_fract_z
Mn1 0.250 0.750 0.500
Mn2 0.750 0.250 0.500
Ni1 0.000 0.000 0.000
Au1 0.500 0.500 0.000
```


4.
## LaSiTe2 (GGA-PBE)

Data for a relaxed structure of LaSiTe2.

The value obtained for the total energy is -4.55 eV/atom. For the energy relative to the elements, uncorrected, the calculation gives -395 meV per atom. The density of states at the Fermi level comes out at 3.2 states/eV/f.u. For the total moment, the calculation gives 0.00 μB per formula unit.

Structure (CIF):
```
data_LaSiTe2
_chemical_formula_sum 'La1 Si1 Te2'
_symmetry_space_group_name_H-M 'P 1'
_symmetry_Int_Tables_number 1
_cell_length_a 5.986
_cell_length_b 5.986
_cell_length_c 5.986
_cell_angle_alpha 134.45
_cell_angle_beta 134.45
_cell_angle_gamma 66.39
loop_
_symmetry_equiv_pos_as_xyz
'x,y,z'
loop_
_atom_site_label
_atom_site_fract_x
_atom_site_fract_y
_atom_site_fract_z
La1 0.000 0.000 0.000
Si1 0.500 0.500 0.000
Te1 0.250 0.750 0.500
Te2 0.750 0.250 0.500
```


5.
## CrIrRu (GGA-PBE)

Data for a relaxed structure of CrIrRu.

The value obtained for the total energy is -9.25 eV/atom. The density of states at the Fermi level comes out at 2.9 states/eV/f.u. For the total moment, the calculation gives 0.00 μB per formula unit. The calculation puts the energy above the most stable polymorph in this dataset at 8 kJ/mol of formula units.

Structure (CIF):
```
data_CrIrRu
_chemical_formula_sum 'Cr2 Ir2 Ru2'
_symmetry_space_group_name_H-M 'P 1'
_symmetry_Int_Tables_number 1
_cell_length_a 4.977
_cell_length_b 4.977
_cell_length_c 4.977
_cell_angle_alpha 130.65
_cell_angle_beta 114.83
_cell_angle_gamma 85.91
loop_
_symmetry_equiv_pos_as_xyz
'x,y,z'
loop_
_atom_site_label
_atom_site_fract_x
_atom_site_fract_y
_atom_site_fract_z
Cr1 0.159 0.159 0.000
Cr2 0.841 0.841 0.000
Ir1 0.247 0.500 0.747
Ir2 0.753 0.500 0.253
Ru1 0.326 0.826 0.500
Ru2 0.674 0.174 0.500
```


6.
## RhBr2F (GGA-PBE)

Data for a relaxed structure of RhBr2F.

The value obtained for the total energy is -2.98 eV/atom. For the energy relative to the elements, uncorrected, the calculation gives 167 meV per atom. The density of states at the Fermi level comes out at 4.3 states/eV/f.u. For the total moment, the calculation gives 0.00 μB per formula unit. The calculation puts the energy above the most stable polymorph in this dataset at 333 kJ/mol of formula units.

Structure (CIF):
```
data_RhBr2F
_chemical_formula_sum 'Rh1 Br2 F1'
_symmetry_space_group_name_H-M 'P 1'
_symmetry_Int_Tables_number 1
_cell_length_a 9.044
_cell_length_b 9.044
_cell_length_c 9.044
_cell_angle_alpha 19.47
_cell_angle_beta 19.47
_cell_angle_gamma 19.47
loop_
_symmetry_equiv_pos_as_xyz
'x,y,z'
loop_
_atom_site_label
_atom_site_fract_x
_atom_site_fract_y
_atom_site_fract_z
Rh1 0.000 0.000 0.000
Br1 0.089 0.089 0.089
Br2 0.911 0.911 0.911
F1 0.500 0.500 0.500
```


7.
## K2LaIr (GGA-PBE)

Data for a relaxed structure of K2LaIr.

The value obtained for the total energy is -4.00 eV/atom. The density of states at the Fermi level comes out at 3.5 states/eV/f.u. For the total moment, the calculation gives 0.00 μB per formula unit. The calculation puts the energy above the most stable polymorph in this dataset at 28 kJ/mol of formula units.

Structure (CIF):
```
data_K2LaIr
_chemical_formula_sum 'K2 La1 Ir1'
_symmetry_space_group_name_H-M 'P 1'
_symmetry_Int_Tables_number 1
_cell_length_a 4.647
_cell_length_b 4.647
_cell_length_c 9.983
_cell_angle_alpha 102.11
_cell_angle_beta 102.11
_cell_angle_gamma 59.05
loop_
_symmetry_equiv_pos_as_xyz
'x,y,z'
loop_
_atom_site_label
_atom_site_fract_x
_atom_site_fract_y
_atom_site_fract_z
K1 0.000 0.000 0.000
K2 0.185 0.185 0.604
La1 0.419 0.419 0.302
Ir1 0.750 0.750 0.303
```


8.
## LiMnBe17 (GGA-PBE)

Data for a relaxed structure of LiMnBe17.

The value obtained for the total energy is -3.94 eV/atom. The density of states at the Fermi level comes out at 3.8 states/eV/f.u. For the total moment, the calculation gives 1.43 μB per formula unit.

Structure (CIF):
```
data_LiMnBe17
_chemical_formula_sum 'Li1 Mn1 Be17'
_symmetry_space_group_name_H-M 'P 1'
_symmetry_Int_Tables_number 1
_cell_length_a 5.503
_cell_length_b 5.503
_cell_length_c 5.503
_cell_angle_alpha 82.16
_cell_angle_beta 82.16
_cell_angle_gamma 82.16
loop_
_symmetry_equiv_pos_as_xyz
'x,y,z'
loop_
_atom_site_label
_atom_site_fract_x
_atom_site_fract_y
_atom_site_fract_z
Li1 0.000 0.000 0.000
Mn1 0.335 0.335 0.335
Be1 0.009 0.009 0.495
Be2 0.009 0.495 0.009
Be3 0.162 0.654 0.654
Be4 0.317 0.317 0.815
Be5 0.317 0.815 0.317
Be6 0.358 0.658 0.965
Be7 0.358 0.965 0.658
Be8 0.495 0.009 0.009
Be9 0.559 0.559 0.559
Be10 0.654 0.162 0.654
Be11 0.654 0.654 0.162
Be12 0.658 0.358 0.965
Be13 0.658 0.965 0.358
Be14 0.758 0.758 0.758
Be15 0.815 0.317 0.317
Be16 0.965 0.358 0.658
Be17 0.965 0.658 0.358
```